Record 1
VASP calculation (PBE) on a geometry-optimized TbEr4Tc structure.

Unit cell a=3.6978 b=8.7314 c=20.3385 alpha=90.00 beta=90.00 gamma=90.00
Closest atoms and distances in Å follow each position.
Fractional positions:
Tb  0.7500  0.7262  0.8122  9 Er 3.27-3.62
Tb  0.2500  0.2738  0.1878  9 Er 3.27-3.62
Tb  0.2500  0.7738  0.3122  9 Er 3.27-3.62
Tb  0.7500  0.2262  0.6878  9 Er 3.27-3.62
Er  0.7500  0.8509  0.6424  2 Tc 2.88
Er  0.2500  0.1491  0.3576  2 Tc 2.88
Er  0.2500  0.6491  0.1424  2 Tc 2.88
Er  0.7500  0.3509  0.8576  2 Tc 2.88
Er  0.7500  0.8689  0.4555  2 Tc 2.83
Er  0.2500  0.1311  0.5445  2 Tc 2.83
Er  0.2500  0.6311  0.9555  2 Tc 2.83
Er  0.7500  0.3689  0.0445  2 Tc 2.83
Er  0.7500  0.9894  0.9336  3 Tc 2.89-3.03
Er  0.2500  0.0106  0.0664  3 Tc 2.89-3.03
Er  0.2500  0.5106  0.4336  3 Tc 2.89-3.03
Er  0.7500  0.4894  0.5664  3 Tc 2.89-3.03
Er  0.7500  0.9621  0.2068  4 Tb 3.27-3.31, 4 Er 3.43-3.55
Er  0.2500  0.0379  0.7932  4 Tb 3.27-3.31, 4 Er 3.43-3.55
Er  0.2500  0.5379  0.7068  4 Tb 3.27-3.31, 4 Er 3.43-3.55
Er  0.7500  0.4621  0.2932  4 Tb 3.27-3.31, 4 Er 3.43-3.55
Tc  0.7500  0.2606  0.4547  7 Er 2.83-3.03
Tc  0.2500  0.7394  0.5453  7 Er 2.83-3.03
Tc  0.2500  0.2394  0.9547  7 Er 2.83-3.03
Tc  0.7500  0.7606  0.0453  7 Er 2.83-3.03

Summary:
Its formation energy from the elements is -32 meV/atom. The raw total energy comes out at -133.76 eV for the cell shown. Its space group is Pnma. The volume is 656.7 Å³/cell.

=====

Record 2
VASP calculation (PBE) on a geometry-optimized TaNb structure.

Unit cell a=14.6874 b=2.9376 c=5.1896 alpha=90.00 beta=90.00 gamma=90.00
Closest atoms and distances in Å follow each position.
Fractional positions:
Ta  0.8341  0.9985  0.1667  7 Nb 2.85-2.99, 3 Ta 2.86-2.94
Ta  0.6659  0.0015  0.6667  7 Nb 2.85-2.99, 3 Ta 2.86-2.94
Ta  0.1659  0.9985  0.1667  7 Nb 2.85-2.99, 3 Ta 2.86-2.94
Ta  0.3341  0.0015  0.6667  7 Nb 2.85-2.99, 3 Ta 2.86-2.94
Ta  0.0000  0.2522  0.9185  6 Nb 2.85-3.00, 4 Ta 2.86-2.94
Ta  0.5000  0.7478  0.4185  6 Nb 2.85-3.00, 4 Ta 2.86-2.94
Nb  0.8346  0.5023  0.6672  3 Nb 2.85-2.94, 7 Ta 2.85-2.99
Nb  0.6654  0.4977  0.1672  3 Nb 2.85-2.94, 7 Ta 2.85-2.99
Nb  0.1654  0.5023  0.6672  3 Nb 2.85-2.94, 7 Ta 2.85-2.99
Nb  0.3346  0.4977  0.1672  3 Nb 2.85-2.94, 7 Ta 2.85-2.99
Nb  0.0000  0.7497  0.4155  4 Nb 2.85-2.94, 6 Ta 2.85-3.00
Nb  0.5000  0.2503  0.9155  4 Nb 2.85-2.94, 6 Ta 2.85-3.00

Summary:
Its polymorph energy (0 for the lowest one) is 127 meV/atom. Its formation energy from the elements is 117 meV/atom. The raw total energy comes out at -130.13 eV for the cell shown. Its space group is Pmn2_1. The volume is 223.9 Å³/cell.

=====

Record 3
VASP calculation (PBE) on a geometry-optimized P3C structure.

Unit cell a=3.1033 b=2.9197 c=7.5075 alpha=90.00 beta=101.79 gamma=90.00
Closest atoms and distances in Å follow each position.
Fractional positions:
P  0.8570  0.5000  0.6711  2 C 1.94
P  0.5106  0.0000  0.9828  2 C 1.85
P  0.1095  0.0000  0.1830  2 P 2.14
C  0.4349  0.5000  0.8286  4 P 1.85-1.94

Summary:
Its polymorph energy (0 for the lowest one) is 28 meV/atom. Its formation energy from the elements is 436 meV/atom. The raw total energy comes out at -23.71 eV for the cell shown. Its space group is Pm. The volume is 66.6 Å³/cell.